VASP calculation (PBE-GGA) on PaCdRh2 after structural relaxation.

abc: 6.712 6.712 6.712
angles: 90.00 90.00 90.00
Space group Fm-3m (No. 225)
Symmetry-distinct sites (fractional):
Pa  0.000  0.000  0.000 x4
Cd  0.000  0.000  0.500 x4
Rh  0.250  0.250  0.250 x8

Summary:
E above lowest polymorph	0.00	eV per formula unit
E	-6.82	eV/atom
ΔE_f	-539	meV per atom
crystal system	cubic